Entry 1:
BaNiTe4, optimized geometry, DFT PBE; calculated total energy = -3.23 eV per atom; crystal system = cubic; uncorrected formation energy = 0.890 eV/f.u.
1.0
5.448 -2.440 2.468
0.074 -6.021 2.338
3.177 -4.653 -3.159
Te Ba Ni
4 1 1
Direct
0.373 0.373 0.373 Te
0.373 0.880 0.373 Te
0.880 0.373 0.373 Te
0.373 0.373 0.880 Te
0.750 0.750 0.750 Ba
0.000 0.000 0.000 Ni

Entry 2:
YMo2Rh2, optimized geometry, DFT PBE; ΔE to the lowest computed polymorph = 0.090 eV/atom; calculated total energy = -8.57 eV per atom; crystal system = tetragonal; calculated formation energy = -0.009 eV per atom
1.0
7.809 0.000 0.000
0.000 7.809 0.000
0.000 0.000 2.836
Mo Y Rh
4 2 4
Direct
0.169 0.669 0.500 Mo
0.331 0.169 0.500 Mo
0.669 0.831 0.500 Mo
0.831 0.331 0.500 Mo
0.000 0.000 0.000 Y
0.500 0.500 0.000 Y
0.875 0.625 0.000 Rh
0.125 0.375 0.000 Rh
0.625 0.125 0.000 Rh
0.375 0.875 0.000 Rh

Entry 3:
Tb2PuZn6, optimized geometry, DFT PBE; calculated total energy = -3.75 eV per atom; crystal system = hexagonal; calculated formation energy = -0.284 eV per atom
1.0
-3.213 -0.948 0.212
-0.282 -0.801 -7.851
2.104 -6.123 4.521
Zn Tb Pu
6 2 1
Direct
0.500 0.335 0.335 Zn
0.500 0.335 0.000 Zn
0.500 0.000 0.665 Zn
0.500 0.000 0.335 Zn
0.500 0.665 0.665 Zn
0.500 0.665 0.000 Zn
0.000 0.667 0.333 Tb
0.000 0.333 0.667 Tb
0.000 0.000 0.000 Pu

Entry 4:
Pr3Ge2Cl, optimized geometry, DFT PBE; ΔE to the lowest computed polymorph = 0.000 eV/atom; calculated total energy = -5.39 eV per atom; crystal system = orthorhombic; uncorrected formation energy = -6.908 eV/f.u.
1.0
4.280 0.000 0.000
0.000 6.043 0.000
-2.140 -3.022 6.507
Pr Ge Cl
3 2 1
Direct
0.826 0.326 0.152 Pr
0.500 0.000 0.500 Pr
0.174 0.674 0.848 Pr
0.837 0.837 0.174 Ge
0.163 0.163 0.826 Ge
0.500 0.500 0.500 Cl